1.
This record from the Alexandria database describes crystalline Mn2FeBr at its relaxed geometry. The functional is GGA-PBE.

abc: 3.1966 3.1966 6.3840
angles: 90.00 90.00 90.00
Site moments in Bohr magnetons follow the coordinates.
Fractional coordinates of all 4 atoms:
Br  0.0000  0.0000  0.4837  0.10
Fe  0.5000  0.5000  0.8187  2.59
Mn  0.0000  0.0000  0.9798  2.71
Mn  0.5000  0.5000  0.2178  3.64

Output
- density (g/cm³) = 6.3
- energy above the lowest structure with this stoichiometry (eV per atom) = 0.1594
- Fermi-level density of states (states/eV/atom) = 0.934
- formation energy without anion corrections (meV per atom) = 522

2.
This record from the Alexandria database describes crystalline Rb6AgCl8 at its relaxed geometry. The functional is GGA-PBE.

abc: 8.4650 8.4650 8.4650
angles: 69.63 69.63 69.63
Site moments in Bohr magnetons follow the coordinates.
Fractional coordinates of all 15 atoms:
Rb  0.0582  0.4800  0.7022  0.00
Rb  0.2978  0.9418  0.5200  0.00
Rb  0.5200  0.2978  0.9418  0.00
Rb  0.4800  0.7022  0.0582  0.00
Rb  0.7022  0.0582  0.4800  0.00
Rb  0.9418  0.5200  0.2978  0.00
Ag  0.0000  0.0000  0.0000  0.36
Cl  0.1537  0.6959  0.9073  0.09
Cl  0.0927  0.8463  0.3041  0.09
Cl  0.3041  0.0927  0.8463  0.09
Cl  0.6551  0.6551  0.6551  0.01
Cl  0.3449  0.3449  0.3449  0.01
Cl  0.6959  0.9073  0.1537  0.09
Cl  0.9073  0.1537  0.6959  0.09
Cl  0.8463  0.3041  0.0927  0.09

Output
- density (g/cm³) = 2.9
- Fermi-level density of states (states/eV/atom) = 0.479
- formation energy without anion corrections (meV per atom) = -1579

3.
This record from the Alexandria database describes crystalline BaSrAsH at its relaxed geometry. The functional is GGA-PBE.

abc: 5.3593 5.3593 5.3593
angles: 60.00 60.00 60.00
Fractional coordinates of all 4 atoms:
Sr  0.0000  0.0000  0.0000
As  0.2500  0.2500  0.2500
Ba  0.5000  0.5000  0.5000
H  0.7500  0.7500  0.7500

Output
- density (g/cm³) = 4.6
- energy above the lowest structure with this stoichiometry (eV per atom) = 0.1085

4.
This record from the Alexandria database describes crystalline SmBePt4 at its relaxed geometry. The functional is GGA-PBE.

abc: 3.9470 6.4965 7.9175
angles: 90.00 104.43 90.00
Fractional coordinates of all 12 atoms:
Sm  0.1092  0.2500  0.2183
Sm  0.8908  0.7500  0.7817
Be  0.2293  0.7500  0.4586
Be  0.7707  0.2500  0.5414
Pt  0.5000  0.5000  0.0000
Pt  0.5000  0.0000  0.0000
Pt  0.6869  0.9567  0.3739
Pt  0.3131  0.0433  0.6261
Pt  0.3131  0.4567  0.6261
Pt  0.6869  0.5433  0.3739
Pt  0.0831  0.7500  0.1663
Pt  0.9169  0.2500  0.8337

Output
- density (g/cm³) = 15.9
- Fermi-level density of states (states/eV/atom) = 0.316
- E_form (meV/atom) = -880

5.
This record from the Alexandria database describes crystalline LiCaLa2Fe at its relaxed geometry. The functional is GGA-PBE.

abc: 5.1249 5.1249 5.7116
angles: 90.00 90.00 90.00
Fractional coordinates of all 5 atoms:
Ca  0.5000  0.5000  0.5000
Li  0.0000  0.0000  0.5000
Fe  0.0000  0.0000  0.0000
La  0.0000  0.5000  0.0000
La  0.5000  0.0000  0.0000

Output
- density (g/cm³) = 4.2
- energy above the lowest structure with this stoichiometry (eV per atom) = 0.0622
- Fermi-level density of states (states/eV/atom) = 1.105
- E_form (meV/atom) = 164

6.
This record from the Alexandria database describes crystalline NdScCl at its relaxed geometry. The functional is GGA-PBE.

abc: 7.0252 3.5555 3.5555
angles: 120.00 90.00 90.00
Site moments in Bohr magnetons follow the coordinates.
Fractional coordinates of all 3 atoms:
Sc  0.2973  0.3333  0.6667  0.13
Nd  0.6749  0.6667  0.3333  0.04
Cl  0.0278  0.0000  0.0000  0.00

Output
- density (g/cm³) = 4.9
- Fermi-level density of states (states/eV/atom) = 1.284
- formation energy without anion corrections (meV per atom) = -854